Entry 1:
## La4Pr3Ni2 (PBE)

Data for crystalline La4Pr3Ni2 at its relaxed geometry.

abc: 11.896 5.379 8.979
angles: 90.00 95.82 90.00
Space group C2/m (No. 12)
One atom of each set of equivalent atoms:
La (0.140, 0.000, 0.437) x4
La (0.215, 0.500, 0.147) x4
Pr (0.000, 0.000, 0.000) x2
Pr (0.075, 0.500, 0.765) x4
Ni (0.106, 0.500, 0.458) x4

Computed properties:
The final energy is -5.144 eV/atom. The density of states at the Fermi level is 11.9 states/eV/f.u. For the magnetic moment, the calculation gives 0.000 Bohr magnetons per cell. The value obtained for the density is 6.4 Mg/m³.



Entry 2:
## LaPr2Ni2 (PBE)

Data for crystalline LaPr2Ni2 at its relaxed geometry.

abc: 4.572 14.220 3.915
angles: 90.00 90.00 90.00
Space group Cmmm (No. 65)
One atom of each set of equivalent atoms:
La (0.000, 0.000, 0.000) x2
Pr (0.000, 0.349, 0.500) x4
Ni (0.000, 0.200, 0.000) x4

Computed properties:
The final energy is -5.429 eV/atom. The density of states at the Fermi level is 4.6 states/eV/f.u. For the magnetic moment, the calculation gives 0.000 Bohr magnetons per cell. The value obtained for the density is 7.0 Mg/m³.



Entry 3:
## LaPr6Ni3 (PBE)

Data for crystalline LaPr6Ni3 at its relaxed geometry.

abc: 11.565 13.504 7.284
angles: 90.00 90.00 90.00
Space group Cmc2_1 (No. 36)
One atom of each set of equivalent atoms:
La (0.000, 0.174, 0.000) x4
Pr (0.000, 0.274, 0.540) x4
Pr (0.000, 0.468, 0.886) x4
Pr (0.169, 0.043, 0.378) x8
Pr (0.224, 0.310, 0.230) x8
Ni (0.000, 0.079, 0.680) x4
Ni (0.190, 0.402, 0.588) x8

Computed properties:
The final energy is -5.226 eV/atom. The density of states at the Fermi level is 11.2 states/eV/f.u. For the magnetic moment, the calculation gives 0.000 Bohr magnetons per cell. The value obtained for the density is 6.8 Mg/m³.



Entry 4:
## LaPr2Ni9 (PBE)

Data for crystalline LaPr2Ni9 at its relaxed geometry.

abc: 5.0673 5.0673 24.9141
angles: 90.00 90.00 120.00
Space group R-3m (No. 166, hexagonal axes)
One atom of each set of equivalent atoms:
La (0.0000, 0.0000, 0.0000) x3
Pr (0.0000, 0.0000, 0.1387) x6
Ni (0.0000, 0.0000, 0.3325) x6
Ni (0.0000, 0.0000, 0.5000) x3
Ni (0.0014, 0.5007, 0.0810) x18

Computed properties:
The final energy is -5.840 eV/atom. The density of states at the Fermi level is 15.2 states/eV/f.u. For the magnetic moment, the calculation gives 0.212 Bohr magnetons per cell. The value obtained for the density is 8.5 Mg/m³.



Entry 5:
## La2Pr2Ni (PBE)

Data for crystalline La2Pr2Ni at its relaxed geometry.

abc: 12.301 3.820 14.384
angles: 90.00 112.58 90.00
Space group C2/m (No. 12)
One atom of each set of equivalent atoms:
La (0.006, 0.000, 0.330) x4
La (0.175, 0.500, 0.191) x4
Pr (0.116, 0.000, 0.949) x4
Pr (0.174, 0.500, 0.567) x4
Ni (0.145, 0.500, 0.807) x4

Computed properties:
The final energy is -5.168 eV/atom. The density of states at the Fermi level is 7.1 states/eV/f.u. For the magnetic moment, the calculation gives 0.000 Bohr magnetons per cell. The value obtained for the density is 6.6 Mg/m³.



Entry 6:
## La3Pr4Ni2 (PBE)

Data for crystalline La3Pr4Ni2 at its relaxed geometry.

abc: 16.937 3.797 9.577
angles: 90.00 115.22 90.00
Space group C2/m (No. 12)
One atom of each set of equivalent atoms:
La (0.000, 0.000, 0.000) x2
La (0.143, 0.500, 0.388) x4
Pr (0.090, 0.000, 0.686) x4
Pr (0.184, 0.500, 0.056) x4
Ni (0.238, 0.500, 0.700) x4

Computed properties:
The final energy is -5.146 eV/atom. The density of states at the Fermi level is 10.7 states/eV/f.u. For the magnetic moment, the calculation gives 0.001 Bohr magnetons per cell. The value obtained for the density is 6.5 Mg/m³.